# 1
The following is a PBE calculation of a relaxed structure of DyTm2Sc3Te6, from the Alexandria database.

a b c (Å): 18.504 4.236 8.508
angles (deg): 90.00 103.26 90.00
Space group C2/m (No. 12)
Unique sites:
Dy: 0.000 0.000 0.000 (multiplicity 2)
Tm: 0.165 0.500 0.330 (multiplicity 4)
Sc: 0.000 0.000 0.500 (multiplicity 2)
Sc: 0.164 0.500 0.833 (multiplicity 4)
Te: 0.002 0.500 0.741 (multiplicity 4)
Te: 0.166 0.000 0.589 (multiplicity 4)
Te: 0.171 0.000 0.079 (multiplicity 4)

## Properties
Its crystal system is monoclinic. The calculation puts the total magnetization at 0.00 μB/f.u. Its energy is -5.44 eV/atom. As for the calculated volume: 649.2 Å³/cell.


# 2
The following is a PBE calculation of a relaxed structure of CaLa2Ag2, from the Alexandria database.

a b c (Å): 9.066 9.066 3.548
angles (deg): 90.00 90.00 90.00
Space group P4/mbm (No. 127)
Unique sites:
Ca: 0.000 0.000 0.000 (multiplicity 2)
La: 0.128 0.372 0.000 (multiplicity 4)
Ag: 0.170 0.670 0.500 (multiplicity 4)

## Properties
Its crystal system is tetragonal. The formation energy is -0.11 eV/atom. The calculation puts the total magnetization at 0.00 μB/f.u. The excess energy over the best structure of this formula in the dataset is 2.51 kcal/mol of atoms. Its energy is -3.62 eV/atom. As for the calculated volume: 291.6 Å³/cell.


What is the formula in the second record?
CaLa2Ag2